No. 1
CaThCd17: optimized geometry, PBE.

Computed properties:
energy relative to the elements: -0.104 eV per atom
DOS(E_F): 6.2 states/eV per cell

Lattice parameters (Å, degrees): 7.707 7.707 7.707 82.08 82.08 82.08
Fractional coordinates of all 19 atoms:
Cd1 0.018 0.480 0.018
Cd2 0.373 0.801 0.373
Cd3 0.897 0.897 0.897
Cd4 0.018 0.018 0.480
Cd5 0.303 0.699 0.000
Cd6 0.801 0.373 0.373
Cd7 0.303 0.000 0.699
Cd8 0.654 0.654 0.129
Cd9 0.000 0.699 0.303
Cd10 0.373 0.373 0.801
Cd11 0.480 0.018 0.018
Cd12 0.129 0.654 0.654
Cd13 0.699 0.303 0.000
Th1 0.671 0.671 0.671
Cd14 0.654 0.129 0.654
Cd15 0.000 0.303 0.699
Ca1 0.335 0.335 0.335
Cd16 0.094 0.094 0.094
Cd17 0.699 0.000 0.303

No. 2
Ca4ThCd5: optimized geometry, PBE.

Computed properties:
energy relative to the elements: -0.296 eV per atom
DOS(E_F): 9.2 states/eV per cell

Lattice parameters (Å, degrees): 3.792 3.792 19.618 90.00 90.00 90.00
Fractional coordinates of all 10 atoms:
Cd1 0.500 0.500 0.301
Cd2 0.500 0.500 0.103
Ca1 0.000 0.000 0.798
Ca2 0.000 0.000 0.202
Cd3 0.500 0.500 0.897
Th1 0.000 0.000 0.000
Ca3 0.000 0.000 0.400
Cd4 0.500 0.500 0.500
Cd5 0.500 0.500 0.699
Ca4 0.000 0.000 0.600

No. 3
CaThCd: optimized geometry, PBE.

Computed properties:
energy relative to the elements: -0.118 eV per atom
DOS(E_F): 6.8 states/eV per cell

Lattice parameters (Å, degrees): 3.620 5.605 9.180 90.00 101.37 90.00
Fractional coordinates of all 6 atoms:
Th1 0.232 0.750 0.463
Ca1 0.920 0.750 0.839
Ca2 0.080 0.250 0.161
Cd1 0.574 0.750 0.149
Th2 0.768 0.250 0.537
Cd2 0.426 0.250 0.851

> Which of these has the highest energy relative to the elements?

CaThCd17

> Which of these has the lowest DOS(E_F)?

CaThCd17

Please write out number 1 again, unchanged.
CaThCd17: optimized geometry, PBE.

Computed properties:
energy relative to the elements: -0.104 eV per atom
DOS(E_F): 6.2 states/eV per cell

Lattice parameters (Å, degrees): 7.707 7.707 7.707 82.08 82.08 82.08
Fractional coordinates of all 19 atoms:
Cd1 0.018 0.480 0.018
Cd2 0.373 0.801 0.373
Cd3 0.897 0.897 0.897
Cd4 0.018 0.018 0.480
Cd5 0.303 0.699 0.000
Cd6 0.801 0.373 0.373
Cd7 0.303 0.000 0.699
Cd8 0.654 0.654 0.129
Cd9 0.000 0.699 0.303
Cd10 0.373 0.373 0.801
Cd11 0.480 0.018 0.018
Cd12 0.129 0.654 0.654
Cd13 0.699 0.303 0.000
Th1 0.671 0.671 0.671
Cd14 0.654 0.129 0.654
Cd15 0.000 0.303 0.699
Ca1 0.335 0.335 0.335
Cd16 0.094 0.094 0.094
Cd17 0.699 0.000 0.303